InSnHg4 PBE-GGA relaxed; distance to the lowest polymorph of the same formula = 8 meV per atom; calculated total energy = -0.0473 hartree per atom; total magnetic moment = 0.00 μB/f.u.; energy of formation from the pure elements = 0.2 eV per formula unit
1.0
1.6563 -8.4930 0.0000
1.6563 8.4930 0.0000
0.0000 0.0000 11.3352
In Sn Hg
2 2 8
Direct
0.1565 0.8435 0.5000
0.8435 0.1565 0.0000
0.2541 0.7459 0.2393
0.7459 0.2541 0.7393
0.0730 0.9270 0.7502
0.1755 0.8245 0.9891
0.4100 0.5900 0.7530
0.4874 0.5127 0.4999
0.5127 0.4874 0.9999
0.5900 0.4100 0.2530
0.8245 0.1755 0.4891
0.9270 0.0730 0.2502